Density functional theory data (PBE-GGA) for crystalline Mn2InAu at its relaxed geometry.

## Properties
E, eV/atom: -6.0028
SG: I4/mmm (139)
Formation energy, eV per atom: 0.086
Total magnetization, Bohr magnetons per cell: 7.1

Unit cell a=4.9198 b=4.9198 c=4.1636 alpha=64.99 beta=64.99 gamma=49.97
Last column: magnetic moment on the atom in μB.
Element x y z (fractional)
Au: 0.7500 0.7500 0.7500  0.01
In: 0.2500 0.2500 0.2500  -0.15
Mn: 0.0000 0.0000 0.0000  3.53
Mn: 0.5000 0.5000 0.5000  3.53